# 1
Here is a relaxed structure of MnBe from the Alexandria database. Energies are from PBEsol.

Lattice parameters (Å, degrees): 2.6569 2.6569 5.1878 90.00 90.00 90.00
Atoms (fractional coordinates):
1 Mn 0.2500 0.2500 0.1172
2 Mn 0.7500 0.7500 0.8828
3 Be 0.2500 0.2500 0.6114
4 Be 0.7500 0.7500 0.3886

- space group = P4/nmm
- formation energy from the elements (meV/atom) = -110

---

# 2
Here is a relaxed structure of Mn3Be from the Alexandria database. Energies are from PBEsol.

Lattice parameters (Å, degrees): 4.4266 4.4266 4.4266 144.17 129.70 63.29
Atoms (fractional coordinates):
1 Mn 0.0000 0.0000 0.0000
2 Mn 0.2476 0.7476 0.5000
3 Mn 0.7524 0.2524 0.5000
4 Be 0.5000 0.5000 0.0000

- space group = Immm
- formation energy from the elements (meV/atom) = -51

---

# 3
Here is a relaxed structure of MnBe2 from the Alexandria database. Energies are from PBEsol.

Lattice parameters (Å, degrees): 4.1073 4.1073 6.6775 90.00 90.00 120.00
Atoms (fractional coordinates):
1 Mn 0.3333 0.6667 0.0612
2 Mn 0.3333 0.6667 0.4388
3 Mn 0.6667 0.3333 0.5612
4 Mn 0.6667 0.3333 0.9388
5 Be 0.0000 0.0000 0.0000
6 Be 0.0000 0.0000 0.5000
7 Be 0.1703 0.3406 0.7500
8 Be 0.1703 0.8297 0.7500
9 Be 0.3406 0.1703 0.2500
10 Be 0.6594 0.8297 0.7500
11 Be 0.8297 0.1703 0.2500
12 Be 0.8297 0.6594 0.2500

- space group = P6_3/mmc
- formation energy from the elements (meV/atom) = -232

---

# 4
Here is a relaxed structure of MnBe from the Alexandria database. Energies are from PBEsol.

Lattice parameters (Å, degrees): 3.6990 3.6990 3.6990 60.00 60.00 60.00
Atoms (fractional coordinates):
1 Mn 0.1250 0.1250 0.1250
2 Mn 0.8750 0.8750 0.8750
3 Be 0.3750 0.3750 0.3750
4 Be 0.6250 0.6250 0.6250

- space group = Fd-3m
- formation energy from the elements (meV/atom) = -171

---

# 5
Here is a relaxed structure of MnBeMo2 from the Alexandria database. Energies are from PBEsol.

Lattice parameters (Å, degrees): 4.2171 4.2171 2.8678 90.00 90.00 103.05
Atoms (fractional coordinates):
1 Mn 0.0000 0.0000 0.0000
2 Be 0.5000 0.5000 0.0000
3 Mo 0.0000 0.5000 0.5000
4 Mo 0.5000 0.0000 0.5000

- space group = Cmmm
- formation energy from the elements (meV/atom) = 186

---

# 6
Here is a relaxed structure of MnBe4Mo from the Alexandria database. Energies are from PBEsol.

Lattice parameters (Å, degrees): 4.2653 4.2653 4.2653 60.00 60.00 60.00
Atoms (fractional coordinates):
1 Mn 0.0000 0.0000 0.0000
2 Be 0.1257 0.6248 0.6248
3 Be 0.6248 0.1257 0.6248
4 Be 0.6248 0.6248 0.1257
5 Be 0.6248 0.6248 0.6248
6 Mo 0.2500 0.2500 0.2500

- space group = F-43m
- formation energy from the elements (meV/atom) = -253

---

# 7
Here is a relaxed structure of MnBe2Mo from the Alexandria database. Energies are from PBEsol.

Lattice parameters (Å, degrees): 4.0877 4.0877 2.6264 90.00 90.00 90.00
Atoms (fractional coordinates):
1 Mn 0.0000 0.0000 0.0000
2 Be 0.0000 0.5000 0.5000
3 Be 0.5000 0.0000 0.5000
4 Mo 0.5000 0.5000 0.0000

- space group = P4/mmm
- formation energy from the elements (meV/atom) = 143

---

# 8
Here is a relaxed structure of TiMnBe2Mo from the Alexandria database. Energies are from PBEsol.

Lattice parameters (Å, degrees): 4.3529 4.3529 4.2651 90.00 90.00 90.00
Atoms (fractional coordinates):
1 Ti 0.0000 0.0000 0.0000
2 Mn 0.5000 0.5000 0.5000
3 Be 0.0000 0.5000 0.0000
4 Be 0.5000 0.0000 0.0000
5 Mo 0.0000 0.0000 0.5000

- space group = P4/mmm
- formation energy from the elements (meV/atom) = 1532

---

# 9
Here is a relaxed structure of Mn3BeN from the Alexandria database. Energies are from PBEsol.

Lattice parameters (Å, degrees): 3.6555 3.6555 3.6555 90.00 90.00 90.00
Atoms (fractional coordinates):
1 Mn 0.0000 0.0000 0.5000
2 Mn 0.0000 0.5000 0.0000
3 Mn 0.5000 0.0000 0.0000
4 Be 0.5000 0.5000 0.5000
5 N 0.0000 0.0000 0.0000

- space group = Pm-3m
- uncorrected formation energy (eV/f.u.) = -1.2

---

# 10
Here is a relaxed structure of Mn2BeN from the Alexandria database. Energies are from PBEsol.

Lattice parameters (Å, degrees): 3.6058 3.6058 3.6058 60.00 60.00 60.00
Atoms (fractional coordinates):
1 Mn 0.2500 0.2500 0.2500
2 Mn 0.7500 0.7500 0.7500
3 Be 0.0000 0.0000 0.0000
4 N 0.5000 0.5000 0.5000

- space group = Fm-3m
- uncorrected formation energy (eV/f.u.) = 2.3

---

# 11
Here is a relaxed structure of MnBeSN2 from the Alexandria database. Energies are from PBEsol.

Lattice parameters (Å, degrees): 3.4551 3.4551 5.0234 90.00 90.00 90.00
Atoms (fractional coordinates):
1 Mn 0.0000 0.0000 0.0000
2 Be 0.5000 0.5000 0.5000
3 S 0.0000 0.0000 0.5000
4 N 0.0000 0.5000 0.0000
5 N 0.5000 0.0000 0.0000

- space group = P4/mmm
- uncorrected formation energy (eV/f.u.) = 2.4

---

# 12
Here is a relaxed structure of NaMn3Be from the Alexandria database. Energies are from PBEsol.

Lattice parameters (Å, degrees): 4.4705 4.4705 4.4705 90.00 90.00 90.00
Atoms (fractional coordinates):
1 Na 0.0000 0.0000 0.0000
2 Mn 0.0000 0.0000 0.5000
3 Mn 0.0000 0.5000 0.0000
4 Mn 0.5000 0.0000 0.0000
5 Be 0.5000 0.5000 0.5000

- space group = Pm-3m
- formation energy from the elements (meV/atom) = 2229

---

# 13
Here is a relaxed structure of NaMnBeTe2 from the Alexandria database. Energies are from PBEsol.

Lattice parameters (Å, degrees): 5.1295 5.1295 4.3852 90.00 90.00 90.00
Atoms (fractional coordinates):
1 Na 0.0000 0.0000 0.0000
2 Mn 0.5000 0.5000 0.0000
3 Be 0.5000 0.5000 0.5000
4 Te 0.0000 0.5000 0.5000
5 Te 0.5000 0.0000 0.5000

- space group = P4/mmm
- uncorrected formation energy (eV/f.u.) = 1.3

---

# 14
Here is a relaxed structure of Mn2BeNi from the Alexandria database. Energies are from PBEsol.

Lattice parameters (Å, degrees): 2.4008 2.4008 6.8061 90.00 90.00 90.00
Atoms (fractional coordinates):
1 Mn 0.0000 0.0000 0.2354
2 Mn 0.0000 0.0000 0.7646
3 Be 0.5000 0.5000 0.0000
4 Ni 0.5000 0.5000 0.5000

- space group = P4/mmm
- formation energy from the elements (meV/atom) = 37

---

# 15
Here is a relaxed structure of MnBe2Ni from the Alexandria database. Energies are from PBEsol.

Lattice parameters (Å, degrees): 4.4307 4.4307 4.4307 145.56 130.45 61.74
Atoms (fractional coordinates):
1 Mn 0.0000 0.0000 0.0000
2 Be 0.5112 0.5112 0.0000
3 Be 0.7413 0.2413 0.5000
4 Ni 0.2683 0.7683 0.5000

- space group = Imm2
- formation energy from the elements (meV/atom) = -111

---

# 16
Here is a relaxed structure of Mn2BeNi from the Alexandria database. Energies are from PBEsol.

Lattice parameters (Å, degrees): 7.7873 7.7873 7.7873 17.96 17.96 17.96
Atoms (fractional coordinates):
1 Mn 0.0000 0.0000 0.0000
2 Mn 0.2512 0.2512 0.2512
3 Be 0.7507 0.7507 0.7507
4 Ni 0.4945 0.4945 0.4945

- space group = R3m
- formation energy from the elements (meV/atom) = -15

---

# 17
Here is a relaxed structure of MnBeNi2 from the Alexandria database. Energies are from PBEsol.

Lattice parameters (Å, degrees): 3.6218 3.6218 3.1461 90.00 90.00 90.00
Atoms (fractional coordinates):
1 Mn 0.0000 0.0000 0.0000
2 Be 0.5000 0.5000 0.0000
3 Ni 0.0000 0.5000 0.5000
4 Ni 0.5000 0.0000 0.5000

- space group = P4/mmm
- formation energy from the elements (meV/atom) = -127

---

# 18
Here is a relaxed structure of MnBeNi from the Alexandria database. Energies are from PBEsol.

Lattice parameters (Å, degrees): 3.7826 3.7826 2.3802 90.00 90.00 120.00
Atoms (fractional coordinates):
1 Mn 0.0000 0.0000 0.0000
2 Be 0.6667 0.3333 0.4885
3 Ni 0.3333 0.6667 0.5082

- space group = P3m1
- formation energy from the elements (meV/atom) = -49

---

# 19
Here is a relaxed structure of Mn2BeNi from the Alexandria database. Energies are from PBEsol.

Lattice parameters (Å, degrees): 4.3510 4.3510 2.3533 90.00 90.00 118.85
Atoms (fractional coordinates):
1 Mn 0.0000 0.5000 0.0000
2 Mn 0.5000 0.0000 0.0000
3 Be 0.0000 0.0000 0.5000
4 Ni 0.5000 0.5000 0.5000

- space group = Cmmm
- formation energy from the elements (meV/atom) = 26

---

# 20
Here is a relaxed structure of MnBeNi2 from the Alexandria database. Energies are from PBEsol.

Lattice parameters (Å, degrees): 2.4673 2.4673 6.2903 90.00 90.00 90.00
Atoms (fractional coordinates):
1 Mn 0.0000 0.0000 0.0000
2 Be 0.0000 0.0000 0.5000
3 Ni 0.5000 0.5000 0.2793
4 Ni 0.5000 0.5000 0.7207

- space group = P4/mmm
- formation energy from the elements (meV/atom) = -192

---

N(E_F) (states/eV/cell)
2.0, 3.4, 6.9, 1.4, 3.5, 1.5, 2.8, 3.9, 3.7, 3.4, 2.9, 5.0, 1.7, 4.7, 2.7, 3.7, 2.0, 2.9, 4.3, 3.9